Compound: CaTcGe2P
Source: Alexandria
Functional: PBE-GGA
Structure: relaxed

Properties
Formation enthalpy at 0 K   1839 meV per atom
Energy above the lowest structure with this stoichiometry   1.0161 eV per atom
V   26.51 A^3/atom

The structure in POSCAR format:
```
CaTcGe2P
1.0
5.233 0.000 0.000
0.000 5.233 0.000
0.000 0.000 4.841
Ca Tc Ge P
1 1 2 1
Cartesian
0.000 0.000 0.000 Ca
0.000 0.000 2.420 Tc
0.000 2.617 0.000 Ge
2.617 0.000 0.000 Ge
2.617 2.617 2.420 P
```